First-principles (GGA-PBEsol) data for a relaxed LaCuTe2N crystal, as listed in Alexandria.

Cell: 5.342 5.342 3.834 Å, 90.00 90.00 90.00°
Space group P4/mmm (No. 123)
Unique sites:
La: 0.000 0.000 0.000 [1 per cell]
Cu: 0.500 0.500 0.500 [1 per cell]
Te: 0.000 0.500 0.500 [2 per cell]
N: 0.500 0.500 0.000 [1 per cell]

Properties
M_tot = 1.30 Bohr magnetons per cell
Formation energy (no corrections) = -0.1008 eV per atom